A plane-wave DFT calculation with PBE with a Hubbard U was carried out for LiCrWO6 after structural relaxation.

a b c (Å): 4.734 4.734 8.747
angles (deg): 90.00 90.00 90.00
Fractional coordinates of all 18 atoms:
Li1 0.000 0.000 0.000
Li2 0.500 0.500 0.500
Cr1 0.000 0.000 0.324
Cr2 0.500 0.500 0.824
W1 0.000 0.000 0.670
W2 0.500 0.500 0.170
O1 0.182 0.182 0.495
O2 0.205 0.205 0.185
O3 0.210 0.210 0.817
O4 0.290 0.710 0.317
O5 0.295 0.705 0.685
O6 0.318 0.682 0.995
O7 0.682 0.318 0.995
O8 0.705 0.295 0.685
O9 0.710 0.290 0.317
O10 0.790 0.790 0.817
O11 0.795 0.795 0.185
O12 0.818 0.818 0.495

Output
Crystal system: tetragonal
Calculated total energy: -6.814 eV/atom
DOS at the Fermi energy: 3.4 states/eV per cell
Space-group type: No. 102